Density functional theory data (PBE with a Hubbard U) for a relaxed Ag6MoF12 crystal.

a = 6.922 Å, b = 6.922 Å, c = 6.922 Å
α = 98.12°, β = 98.12°, γ = 98.12°
Site moments in Bohr magnetons follow the coordinates.
Positions (direct):
F 0.724 0.938 0.023  0.01
F 0.597 0.395 0.836  -0.01
Ag 0.333 0.150 0.600  -0.02
F 0.403 0.605 0.164  -0.01
Ag 0.400 0.667 0.850  -0.02
Ag 0.150 0.600 0.333  -0.02
Ag 0.600 0.333 0.150  -0.02
F 0.276 0.062 0.977  0.01
F 0.395 0.836 0.597  -0.01
F 0.938 0.023 0.724  0.01
F 0.605 0.164 0.403  -0.01
F 0.062 0.977 0.276  0.01
Ag 0.850 0.400 0.667  -0.02
F 0.023 0.724 0.938  0.01
Mo 0.000 0.000 0.000  1.01
F 0.164 0.403 0.605  -0.01
F 0.836 0.597 0.395  -0.01
Ag 0.667 0.850 0.400  -0.02
F 0.977 0.276 0.062  0.01

Output
SG: R-3
Calculated total energy: -74.549 eV/f.u.